No. 1
The following is a GGA-PBE calculation of crystalline RbPtS2 at its relaxed geometry, from Alexandria via LeMat-Bulk.

Cell: 5.902 7.019 7.297 Å, 90.00 113.85 90.00°
Sites, in units of the cell vectors:
1 Rb 0.666 0.750 0.332
2 Rb 0.334 0.250 0.668
3 Pt 0.001 0.250 0.001
4 Pt 0.999 0.750 0.999
5 S 0.113 0.500 0.227
6 S 0.887 0.500 0.773
7 S 0.113 0.000 0.227
8 S 0.887 0.000 0.773

D(E_F) = 2.71 states/eV/f.u.
Mass density = 4.14 g cm⁻³
Crystal system = orthorhombic
Raw total energy = -4.49 eV per atom

---

No. 2
The following is a GGA-PBE calculation of crystalline ZrGa3Fe3 at its relaxed geometry, from Alexandria via LeMat-Bulk.

Cell: 4.587 7.185 7.185 Å, 120.00 90.00 90.00°
Sites, in units of the cell vectors:
1 Zr 0.250 0.667 0.333
2 Zr 0.750 0.333 0.667
3 Ga 0.750 0.226 0.241
4 Ga 0.750 0.015 0.774
5 Ga 0.250 0.241 0.015
6 Ga 0.750 0.759 0.985
7 Ga 0.250 0.985 0.226
8 Ga 0.250 0.774 0.759
9 Fe 0.750 0.461 0.083
10 Fe 0.750 0.623 0.539
11 Fe 0.250 0.083 0.623
12 Fe 0.750 0.917 0.377
13 Fe 0.250 0.377 0.461
14 Fe 0.250 0.539 0.917

D(E_F) = 5.35 states/eV/f.u.
Mass density = 7.58 g cm⁻³
Crystal system = hexagonal
Calculated formation energy = -23 meV/atom

---

No. 3
The following is a GGA-PBE calculation of crystalline CaNdCdRh at its relaxed geometry, from Alexandria via LeMat-Bulk.

Cell: 5.167 5.167 5.167 Å, 60.00 60.00 60.00°
Sites, in units of the cell vectors:
1 Rh 0.250 0.250 0.250
2 Ca 0.500 0.500 0.500
3 Nd 0.000 0.000 0.000
4 Cd 0.750 0.750 0.750

D(E_F) = 3.95 states/eV/f.u.
Mass density = 6.80 g cm⁻³
Crystal system = cubic
Calculated formation energy = -372 meV/atom

---

No. 4
The following is a GGA-PBE calculation of crystalline LaZn2Pt8 at its relaxed geometry, from Alexandria via LeMat-Bulk.

Cell: 5.282 5.282 8.496 Å, 90.00 90.00 90.00°
Sites, in units of the cell vectors:
1 La 0.500 0.500 0.500
2 Zn 0.500 0.000 0.000
3 Zn 0.000 0.500 0.000
4 Pt 0.753 0.753 0.222
5 Pt 0.753 0.247 0.778
6 Pt 0.753 0.753 0.778
7 Pt 0.753 0.247 0.222
8 Pt 0.247 0.753 0.222
9 Pt 0.247 0.753 0.778
10 Pt 0.247 0.247 0.222
11 Pt 0.247 0.247 0.778

D(E_F) = 5.69 states/eV/f.u.
Mass density = 12.82 g cm⁻³
Crystal system = tetragonal
Calculated formation energy = -167 meV/atom

---

No. 5
The following is a GGA-PBE calculation of crystalline TbTlSiO4 at its relaxed geometry, from Alexandria via LeMat-Bulk.

Cell: 5.763 5.663 7.805 Å, 90.00 105.74 90.00°
Sites, in units of the cell vectors:
1 Tb 0.784 0.750 0.444
2 Tb 0.216 0.250 0.556
3 Tl 0.684 0.750 0.894
4 Tl 0.316 0.250 0.106
5 Si 0.256 0.750 0.355
6 Si 0.744 0.250 0.645
7 O 0.931 0.477 0.661
8 O 0.069 0.977 0.339
9 O 0.069 0.523 0.339
10 O 0.931 0.023 0.661
11 O 0.430 0.750 0.220
12 O 0.570 0.250 0.780
13 O 0.443 0.750 0.558
14 O 0.557 0.250 0.442

D(E_F) = 0.00 states/eV/f.u.
Mass density = 6.17 g cm⁻³
Crystal system = monoclinic
Raw total energy = -7.22 eV per atom

---

No. 6
The following is a GGA-PBE calculation of crystalline CuOsRh2 at its relaxed geometry, from Alexandria via LeMat-Bulk.

Cell: 4.655 4.655 4.655 Å, 80.45 80.45 33.84°
Sites, in units of the cell vectors:
1 Cu 0.500 0.500 0.509
2 Os 0.252 0.252 0.238
3 Rh 0.998 0.998 0.022
4 Rh 0.749 0.749 0.730

D(E_F) = 4.06 states/eV/f.u.
Mass density = 13.79 g cm⁻³
Crystal system = monoclinic
Calculated formation energy = 119 meV/atom